(1)
Al2SnHg PBE relaxed; relative energy among the computed polymorphs = 0 meV/atom; DFT formation energy = 0.166 eV per atom
1.0
-3.508 0.493 2.384
-3.359 -2.569 -0.588
-0.100 -4.471 4.602
Al Sn Hg
2 1 1
Direct
0.081 0.081 0.756
0.250 0.250 0.251
0.498 0.498 0.506
0.671 0.671 0.987


(2)
AcTaSi2Tc PBE relaxed; formation energy (no corrections) = -502 meV per atom
1.0
-3.492 2.284 -0.067
-0.149 -0.350 -4.156
-1.326 -5.762 2.629
Ac Ta Si Tc
1 1 2 1
Direct
0.000 0.000 0.000
0.250 0.750 0.500
0.619 0.619 0.237
0.381 0.381 0.763
0.750 0.250 0.500


(3)
NbFe3As PBE relaxed; relative energy among the computed polymorphs = 0 meV/atom; DFT formation energy = 0.826 eV per atom
1.0
4.211 0.000 0.000
0.000 4.211 0.000
0.000 0.000 4.211
Nb As Fe
1 1 3
Direct
0.500 0.500 0.500
0.000 0.000 0.000
0.000 0.500 0.000
0.000 0.000 0.500
0.500 0.000 0.000


(4)
Dy2SbTe PBE relaxed; formation energy (no corrections) = -1205 meV per atom; relative energy among the computed polymorphs = 47 meV/atom
1.0
-3.244 -2.235 -1.680
-1.425 -3.521 1.979
-6.462 2.264 4.009
Dy Sb Te
2 1 1
Direct
0.077 0.077 0.768
0.256 0.256 0.233
0.668 0.668 0.996
0.499 0.499 0.504


(5)
ThAgTe3 PBE relaxed; formation energy (no corrections) = -684 meV per atom
1.0
-1.381 4.130 0.904
-8.356 -2.095 -3.190
-2.174 -2.304 7.208
Th Ag Te
2 2 6
Direct
0.000 0.627 0.291
0.000 0.373 0.791
0.500 0.159 0.200
0.500 0.841 0.700
0.500 0.544 0.572
0.500 0.125 0.838
0.000 0.275 0.404
0.500 0.456 0.072
0.000 0.725 0.904
0.500 0.875 0.338


(6)
ZnRu3 PBE relaxed; DFT formation energy = 0.202 eV per atom
1.0
-4.728 -0.635 -1.716
0.476 -2.115 1.974
-3.180 1.651 2.536
Ru Zn
3 1
Direct
0.983 0.992 0.008
0.500 0.750 0.750
0.017 0.508 0.492
0.500 0.250 0.250


| no. | total magnetic moment (μB per formula unit) | calculated density (g cm⁻³) | DFT total energy (eV per cell) |
| --- | --- | --- | --- |
| 1 | 0.00 | 6.6 | -11.1 |
| 2 | 0.00 | 9.3 | -39.7 |
| 3 | 0.00 | 7.5 | -36.0 |
| 4 | 0.00 | 8.0 | -21.3 |
| 5 | 0.00 | 7.5 | -46.2 |
| 6 | 0.00 | 11.0 | -28.3 |